No. 1
Compound: TbCoSi2
Source: Alexandria
Functional: SCAN
Structure: PBEsol geometry

Calculated values
spin magnetization	0.0000	μB per atom
DOS(E_F)	3.873	states/eV per cell
symmetry	Cmcm, No. 63

Lattice parameters (Å, degrees): 8.2834 8.2834 3.9559 90.00 90.00 152.16
Positions (direct):
Tb 0.1075 0.8925 0.7500
Tb 0.8925 0.1075 0.2500
Co 0.3205 0.6795 0.7500
Co 0.6795 0.3205 0.2500
Si 0.2500 0.7500 0.2500
Si 0.4572 0.5428 0.7500
Si 0.5428 0.4572 0.2500
Si 0.7500 0.2500 0.7500

No. 2
Compound: TbCo2Si2
Source: Alexandria
Functional: SCAN
Structure: PBEsol geometry

Calculated values
spin magnetization	0.0000	μB per atom
DOS(E_F)	1.804	states/eV per cell
symmetry	I4/mmm, No. 139

Lattice parameters (Å, degrees): 5.5462 5.5462 5.5462 139.52 139.52 58.58
Positions (direct):
Tb 0.0000 0.0000 0.0000
Co 0.2500 0.7500 0.5000
Co 0.7500 0.2500 0.5000
Si 0.3712 0.3712 0.0000
Si 0.6288 0.6288 0.0000

No. 3
Compound: TbCo9Si4
Source: Alexandria
Functional: SCAN
Structure: PBEsol geometry

Calculated values
spin magnetization	0.5477	μB per atom
DOS(E_F)	16.231	states/eV per cell
symmetry	I4/mcm, No. 140

Lattice parameters (Å, degrees): 7.7790 7.7790 7.7790 121.45 121.45 87.51
Positions (direct):
Tb 0.2500 0.2500 0.0000
Tb 0.7500 0.7500 0.0000
Co 0.0000 0.5000 0.5000
Co 0.0506 0.5506 0.2410
Co 0.0709 0.8004 0.8713
Co 0.1904 0.9494 0.5000
Co 0.1996 0.0709 0.2705
Co 0.3004 0.5709 0.8713
Co 0.3096 0.8096 0.7590
Co 0.4291 0.3004 0.7295
Co 0.4494 0.6904 0.5000
Co 0.5000 0.0000 0.5000
Co 0.5506 0.3096 0.5000
Co 0.5709 0.6996 0.2705
Co 0.6904 0.1904 0.2410
Co 0.6996 0.4291 0.1287
Co 0.8004 0.9291 0.7295
Co 0.8096 0.0506 0.5000
Co 0.9291 0.1996 0.1287
Co 0.9494 0.4494 0.7590
Si 0.0482 0.2087 0.5000
Si 0.2087 0.7087 0.1605
Si 0.2913 0.4518 0.5000
Si 0.4518 0.9518 0.1605
Si 0.5482 0.0482 0.8395
Si 0.7087 0.5482 0.5000
Si 0.7913 0.2913 0.8395
Si 0.9518 0.7913 0.5000

No. 4
Compound: Tb2Co3Si5
Source: Alexandria
Functional: SCAN
Structure: PBEsol geometry

Calculated values
spin magnetization	0.0640	μB per atom
DOS(E_F)	7.375	states/eV per cell
symmetry	C2/c, No. 15

Lattice parameters (Å, degrees): 7.7765 7.7765 5.4408 109.20 109.20 93.49
Positions (direct):
Tb 0.0973 0.3697 0.2363
Tb 0.3697 0.0973 0.7363
Tb 0.6303 0.9027 0.2637
Tb 0.9027 0.6303 0.7637
Co 0.0401 0.7638 0.3730
Co 0.2362 0.9599 0.1270
Co 0.4966 0.5034 0.2500
Co 0.5034 0.4966 0.7500
Co 0.7638 0.0401 0.8730
Co 0.9599 0.2362 0.6270
Si 0.0120 0.9880 0.7500
Si 0.2377 0.4351 0.8342
Si 0.2703 0.7297 0.7500
Si 0.2861 0.7139 0.2500
Si 0.4351 0.2377 0.3342
Si 0.5649 0.7623 0.6658
Si 0.7139 0.2861 0.7500
Si 0.7297 0.2703 0.2500
Si 0.7623 0.5649 0.1658
Si 0.9880 0.0120 0.2500

No. 5
Compound: Co2Si2Tc
Source: Alexandria
Functional: SCAN
Structure: PBEsol geometry

Calculated values
spin magnetization	0.0000	μB per atom
DOS(E_F)	3.947	states/eV per cell
symmetry	P4/mbm, No. 127

Lattice parameters (Å, degrees): 6.6483 6.6483 2.5380 90.00 90.00 90.00
Positions (direct):
Co 0.1474 0.3526 0.0000
Co 0.3526 0.8526 0.0000
Co 0.6474 0.1474 0.0000
Co 0.8526 0.6474 0.0000
Si 0.1488 0.6488 0.5000
Si 0.3512 0.1488 0.5000
Si 0.6488 0.8512 0.5000
Si 0.8512 0.3512 0.5000
Tc 0.0000 0.0000 0.5000
Tc 0.5000 0.5000 0.5000

No. 6
Compound: CoSiTe2
Source: Alexandria
Functional: SCAN
Structure: PBEsol geometry

Calculated values
spin magnetization	0.0012	μB per atom
DOS(E_F)	2.560	states/eV per cell
symmetry	Pm, No. 6

Lattice parameters (Å, degrees): 4.1858 3.6432 5.9191 90.00 96.82 90.00
Positions (direct):
Co 0.0000 0.0000 0.0000
Si 0.6951 0.5000 0.9782
Te 0.1640 0.5000 0.7156
Te 0.5416 0.0000 0.2708

No. 7
Compound: CoSiTe2
Source: Alexandria
Functional: SCAN
Structure: PBEsol geometry

Calculated values
spin magnetization	0.4479	μB per atom
DOS(E_F)	2.033	states/eV per cell
symmetry	I-4m2, No. 119

Lattice parameters (Å, degrees): 6.1765 6.1765 6.1765 143.77 143.77 52.18
Positions (direct):
Co 0.0000 0.0000 0.0000
Si 0.7500 0.2500 0.5000
Te 0.2500 0.7500 0.5000
Te 0.5000 0.5000 0.0000

No. 8
Compound: ThCoSi2
Source: Alexandria
Functional: SCAN
Structure: PBEsol geometry

Calculated values
spin magnetization	0.0000	μB per atom
DOS(E_F)	3.794	states/eV per cell
symmetry	Cmcm, No. 63

Lattice parameters (Å, degrees): 8.4071 8.4071 4.0500 90.00 90.00 151.96
Positions (direct):
Th 0.1081 0.8919 0.7500
Th 0.8919 0.1081 0.2500
Co 0.3206 0.6794 0.7500
Co 0.6794 0.3206 0.2500
Si 0.2495 0.7505 0.2500
Si 0.4589 0.5411 0.7500
Si 0.5411 0.4589 0.2500
Si 0.7505 0.2495 0.7500

| no. | formation energy (no corrections) (meV/atom) |
| --- | --- |
| 1 | -759 |
| 2 | -776 |
| 3 | -418 |
| 4 | -728 |
| 5 | -411 |
| 6 | 119 |
| 7 | 652 |
| 8 | -742 |